Record 1
DFT (PBE) results for a relaxed Ca8Zn2Rh crystal.

The spin magnetization comes out at 0.0 μB per cell. As for the density of states at the Fermi level: 24.5 states/eV per cell. The energy above the lowest structure with this stoichiometry comes out at 0.0 meV/atom. For the electronic total energy, the calculation gives -2.520 eV/atom. The calculated formation energy is -0.165 eV per atom.

It has space group C2/m (No. 12), with a = 18.6215 Å, b = 5.3510 Å, c = 7.0896 Å, α = 90.00°, β = 107.50° and γ = 90.00°. Symmetry generates all atoms from Ca at (0.0283, 0.0000, 0.2992), Ca at (0.0903, 0.5000, 0.9191), Ca at (0.1548, 0.5000, 0.4613), Ca at (0.2080, 0.0000, 0.8081), Zn at (0.1849, 0.0000, 0.2199) and Rh at (0.0000, 0.5000, 0.5000).

Record 2
DFT (PBE) results for a relaxed Ca2Zn3Rh crystal.

The spin magnetization comes out at 0.0 μB per cell. As for the density of states at the Fermi level: 6.9 states/eV per cell. The energy above the lowest structure with this stoichiometry comes out at 0.0 meV/atom. For the electronic total energy, the calculation gives -2.931 eV/atom. The calculated formation energy is -0.401 eV per atom.

It has space group C2/m (No. 12), with a = 9.3676 Å, b = 5.4643 Å, c = 5.4684 Å, α = 90.00°, β = 124.90° and γ = 90.00°. Symmetry generates all atoms from Ca at (0.1281, 0.0000, 0.3829), Zn at (0.0000, 0.5000, 0.0000), Zn at (0.2500, 0.2500, 0.0000) and Rh at (0.0000, 0.5000, 0.5000).

Record 3
DFT (PBE) results for a relaxed CaZn4Rh crystal.

The spin magnetization comes out at 0.0 μB per cell. As for the density of states at the Fermi level: 11.7 states/eV per cell. The energy above the lowest structure with this stoichiometry comes out at 77.4 meV/atom. For the electronic total energy, the calculation gives -2.642 eV/atom. The calculated formation energy is -0.234 eV per atom.

It has space group Cmcm (No. 63), with a = 4.7906 Å, b = 13.3408 Å, c = 6.9788 Å, α = 90.00°, β = 90.00° and γ = 90.00°. Symmetry generates all atoms from Ca at (0.0000, 0.1136, 0.2500), Zn at (0.0000, 0.1044, 0.7500), Zn at (0.0000, 0.2793, 0.5733), Zn at (0.0000, 0.5000, 0.0000) and Rh at (0.0000, 0.3615, 0.2500).

Record 4
DFT (PBE) results for a relaxed Ca2Zn5Rh4 crystal.

The spin magnetization comes out at 0.0 μB per cell. As for the density of states at the Fermi level: 49.7 states/eV per cell. For the electronic total energy, the calculation gives -3.960 eV/atom. The calculated formation energy is -0.343 eV per atom.

It has space group Fmmm (No. 69), with a = 5.4381 Å, b = 9.1184 Å, c = 16.2360 Å, α = 90.00°, β = 90.00° and γ = 90.00°. Symmetry generates all atoms from Ca at (0.0000, 0.0000, 0.1403), Zn at (0.0000, 0.0000, 0.5000), Zn at (0.2500, 0.2500, 0.0000), Zn at (0.2500, 0.2500, 0.2500) and Rh at (0.0000, 0.1669, 0.3740).

Record 5
DFT (PBE) results for a relaxed Ca2Zn3Rh crystal.

The spin magnetization comes out at 0.0 μB per cell. As for the density of states at the Fermi level: 7.1 states/eV per cell. The energy above the lowest structure with this stoichiometry comes out at 226.0 meV/atom. For the electronic total energy, the calculation gives -2.705 eV/atom. The calculated formation energy is -0.175 eV per atom.

It has space group Immm (No. 71), with a = 4.6292 Å, b = 5.2905 Å, c = 10.8359 Å, α = 90.00°, β = 90.00° and γ = 90.00°. Symmetry generates all atoms from Ca at (0.0000, 0.0000, 0.2148), Zn at (0.0000, 0.5000, 0.1097), Zn at (0.0000, 0.5000, 0.5000) and Rh at (0.0000, 0.0000, 0.5000).

Record 6
DFT (PBE) results for a relaxed CaZn3Rh crystal.

The spin magnetization comes out at 0.0 μB per cell. As for the density of states at the Fermi level: 2.8 states/eV per cell. The energy above the lowest structure with this stoichiometry comes out at 61.5 meV/atom. For the electronic total energy, the calculation gives -2.866 eV/atom. The calculated formation energy is -0.231 eV per atom.

It has space group Pm-3m (No. 221), with a = 4.7900 Å, b = 4.7900 Å, c = 4.7900 Å, α = 90.00°, β = 90.00° and γ = 90.00°. Symmetry generates all atoms from Ca at (0.0000, 0.0000, 0.0000), Zn at (0.0000, 0.5000, 0.5000) and Rh at (0.5000, 0.5000, 0.5000).

Record 7
DFT (PBE) results for a relaxed Ca2Zn9Rh6 crystal.

The spin magnetization comes out at 0.0 μB per cell. As for the density of states at the Fermi level: 12.8 states/eV per cell. For the electronic total energy, the calculation gives -3.805 eV/atom. The calculated formation energy is -0.300 eV per atom.

It has space group P6/mmm (No. 191), with a = 5.4328 Å, b = 5.4328 Å, c = 12.0878 Å, α = 90.00°, β = 90.00° and γ = 120.00°. Symmetry generates all atoms from Ca at (0.0000, 0.0000, 0.1745), Zn at (0.0000, 0.5000, 0.0000), Zn at (0.0000, 0.5000, 0.3358), Rh at (0.3333, 0.6667, 0.1681) and Rh at (0.3333, 0.6667, 0.5000).

Record 8
DFT (PBE) results for a relaxed CaZn2Rh crystal.

The spin magnetization comes out at 0.0 μB per cell. As for the density of states at the Fermi level: 2.8 states/eV per cell. For the electronic total energy, the calculation gives -3.285 eV/atom. The calculated formation energy is -0.310 eV per atom.

It has space group I4/mmm (No. 139), with a = 4.1356 Å, b = 4.1356 Å, c = 8.0437 Å, α = 90.00°, β = 90.00° and γ = 90.00°. Symmetry generates all atoms from Ca at (0.0000, 0.0000, 0.0000), Zn at (0.0000, 0.5000, 0.2500) and Rh at (0.0000, 0.0000, 0.5000).

Record 9
DFT (PBE) results for a relaxed Ca2ZnRh crystal.

The spin magnetization comes out at 0.0 μB per cell. As for the density of states at the Fermi level: 4.1 states/eV per cell. For the electronic total energy, the calculation gives -3.571 eV/atom. The calculated formation energy is -0.414 eV per atom.

It has space group P2_1/m (No. 11), with a = 5.8971 Å, b = 4.2488 Å, c = 8.2483 Å, α = 90.00°, β = 110.42° and γ = 90.00°. Symmetry generates all atoms from Ca at (0.1924, 0.2500, 0.4208), Ca at (0.2702, 0.7500, 0.0634), Zn at (0.3576, 0.7500, 0.7191) and Rh at (0.1647, 0.2500, 0.7806).

Record 10
DFT (PBE) results for a relaxed CaZn3Rh crystal.

The spin magnetization comes out at 0.0 μB per cell. As for the density of states at the Fermi level: 7.3 states/eV per cell. The energy above the lowest structure with this stoichiometry comes out at 0.0 meV/atom. For the electronic total energy, the calculation gives -2.927 eV/atom. The calculated formation energy is -0.292 eV per atom.

It has space group Imma (No. 74), with a = 5.4344 Å, b = 9.0389 Å, c = 8.3401 Å, α = 90.00°, β = 90.00° and γ = 90.00°. Symmetry generates all atoms from Ca at (0.0000, 0.2500, 0.0604), Zn at (0.0000, 0.2500, 0.6190), Zn at (0.2500, 0.0238, 0.7500) and Rh at (0.0000, 0.0000, 0.5000).

Record 11
DFT (PBE) results for a relaxed Ca2ZnRh crystal.

The spin magnetization comes out at 0.0 μB per cell. As for the density of states at the Fermi level: 6.0 states/eV per cell. For the electronic total energy, the calculation gives -3.239 eV/atom. The calculated formation energy is -0.082 eV per atom.

It has space group C2/m (No. 12), with a = 7.8130 Å, b = 3.3658 Å, c = 7.6872 Å, α = 90.00°, β = 99.13° and γ = 90.00°. Symmetry generates all atoms from Ca at (0.2421, 0.0000, 0.2141), Zn at (0.0000, 0.0000, 0.5000) and Rh at (0.0000, 0.5000, 0.0000).

Record 12
DFT (PBE) results for a relaxed Ca4ZnRh crystal.

The spin magnetization comes out at 0.0 μB per cell. As for the density of states at the Fermi level: 16.7 states/eV per cell. The energy above the lowest structure with this stoichiometry comes out at 0.0 meV/atom. For the electronic total energy, the calculation gives -3.060 eV/atom. The calculated formation energy is -0.288 eV per atom.

It has space group C2/c (No. 15), with a = 9.2923 Å, b = 13.6546 Å, c = 6.3941 Å, α = 90.00°, β = 119.48° and γ = 90.00°. Symmetry generates all atoms from Ca at (0.1154, 0.1708, 0.0823), Ca at (0.2122, 0.4352, 0.2978), Zn at (0.0000, 0.3661, 0.7500) and Rh at (0.0000, 0.0006, 0.2500).